# YAlRu3, relaxed, DFT PBE
# raw total energy	-7.255	eV/atom
# energy above the lowest structure with this stoichiometry	0.000	eV/atom
# ΔH_f (0 K)	0.352	eV per atom
data_YAlRu3
_symmetry_space_group_name_H-M 'P m -3 m'
_symmetry_Int_Tables_number 221
_symmetry_space_group_name_Hall '-P 4 2 3'
_cell_length_a 4.515
_cell_length_b 4.515
_cell_length_c 4.515
_cell_angle_alpha 90.00
_cell_angle_beta 90.00
_cell_angle_gamma 90.00
loop_
_atom_site_label
_atom_site_type_symbol
_atom_site_fract_x
_atom_site_fract_y
_atom_site_fract_z
Y1 Y 0.000 0.000 0.000
Al1 Al 0.500 0.500 0.500
Ru1 Ru 0.000 0.500 0.500